Entry 1:
# GGA-PBE AcY2Ni6, relaxed
# Crystal system: hexagonal
# Formation energy from the elements in eV per atom: -0.3214
data_AcY2Ni6
_space_group_name_H-M_alt 'P 6/m m m'
_space_group_IT_number 191
_space_group_name_Hall '-P 6 2'
_cell_length_a 6.9852
_cell_length_b 6.9852
_cell_length_c 3.9525
_cell_angle_alpha 90.00
_cell_angle_beta 90.00
_cell_angle_gamma 120.00
loop_
_atom_site_label
_atom_site_type_symbol
_atom_site_fract_x
_atom_site_fract_y
_atom_site_fract_z
Ac1 Ac 0.0000 0.0000 0.0000
Y1 Y 0.3333 0.6667 0.0000
Ni1 Ni 0.0000 0.3373 0.5000



Entry 2:
# GGA-PBE SrRhF2, relaxed
# Crystal system: tetragonal
# Formation energy without anion corrections in eV per atom: -1.659
data_SrRhF2
_space_group_name_H-M_alt 'I -4 2 d'
_space_group_IT_number 122
_space_group_name_Hall 'I -4 2bw'
_cell_length_a 4.4195
_cell_length_b 4.4195
_cell_length_c 14.7929
_cell_angle_alpha 90.00
_cell_angle_beta 90.00
_cell_angle_gamma 90.00
loop_
_atom_site_label
_atom_site_type_symbol
_atom_site_fract_x
_atom_site_fract_y
_atom_site_fract_z
Sr1 Sr 0.0000 0.0000 0.0000
Rh1 Rh 0.0000 0.0000 0.5000
F1 F 0.2226 0.2500 0.6250